1.
The following is a PBE calculation of an optimized crystal structure of MgZrSi, from Alexandria via LeMat-Bulk.

## Properties
Raw formation energy (kJ/mol of formula units): -91

Cell: 5.8948 4.0108 9.9076 Å, 90.00 96.69 90.00°
Fractional coordinates of all 12 atoms:
Zr: 0.8983 0.5000 0.4048
Zr: 0.6194 0.5000 0.6969
Zr: 0.8983 0.0000 0.9048
Zr: 0.6194 0.0000 0.1969
Mg: 0.4009 0.0000 0.8895
Mg: 0.1897 0.0000 0.5938
Mg: 0.4009 0.5000 0.3895
Mg: 0.1897 0.5000 0.0938
Si: 0.1267 0.0000 0.2738
Si: 0.6816 0.5000 0.0207
Si: 0.1267 0.5000 0.7738
Si: 0.6816 0.0000 0.5207

2.
The following is a PBE calculation of an optimized crystal structure of RbPdS3, from Alexandria via LeMat-Bulk.

## Properties
Raw formation energy (kJ/mol of formula units): -16

Cell: 4.8764 4.8764 4.8764 Å, 90.00 90.00 90.00°
Site moments in Bohr magnetons follow the coordinates.
Fractional coordinates of all 5 atoms:
S: 0.0000 0.0000 0.5000  0.16
S: 0.0000 0.5000 0.0000  0.24
S: 0.5000 0.0000 0.0000  0.45
Rb: 0.5000 0.5000 0.5000  0.01
Pd: 0.0000 0.0000 0.0000  0.13

3.
The following is a PBE calculation of an optimized crystal structure of RbW3I, from Alexandria via LeMat-Bulk.

## Properties
Raw formation energy (kJ/mol of formula units): 1417
E above lowest polymorph (eV per atom): 0.000

Cell: 5.0530 5.0530 5.0530 Å, 90.00 90.00 90.00°
Fractional coordinates of all 5 atoms:
W: 0.0000 0.0000 0.5000
W: 0.5000 0.0000 0.0000
W: 0.0000 0.5000 0.0000
I: 0.0000 0.0000 0.0000
Rb: 0.5000 0.5000 0.5000

4.
The following is a PBE calculation of an optimized crystal structure of KRb3Cu2Cl9, from Alexandria via LeMat-Bulk.

## Properties
Raw formation energy (kJ/mol of formula units): -1755

Cell: 7.0606 7.0606 9.9083 Å, 90.00 90.00 120.00°
Fractional coordinates of all 15 atoms:
Cu: 0.3333 0.6667 0.1487
Cu: 0.6667 0.3333 0.8513
Cl: 0.5000 0.5000 0.0000
Cl: 0.1734 0.8266 0.2780
Cl: 0.1734 0.3469 0.2780
Cl: 0.5000 0.0000 0.0000
Cl: 0.0000 0.5000 0.0000
Cl: 0.3469 0.1734 0.7220
Cl: 0.8266 0.6531 0.7220
Cl: 0.8266 0.1734 0.7220
Cl: 0.6531 0.8266 0.2780
Rb: 0.0000 0.0000 0.0000
Rb: 0.6667 0.3333 0.2756
Rb: 0.3333 0.6667 0.7244
K: 0.0000 0.0000 0.5000

5.
The following is a PBE calculation of an optimized crystal structure of NaPm2YSe4, from Alexandria via LeMat-Bulk.

## Properties
Raw formation energy (kJ/mol of formula units): -1356

Cell: 4.1507 7.2312 7.2307 Å, 109.10 90.00 90.00°
Fractional coordinates of all 8 atoms:
Se: 0.5000 0.7538 0.7588
Se: 0.5000 0.2462 0.2412
Se: 0.0000 0.2476 0.7539
Se: 0.0000 0.7524 0.2461
Pm: 0.5000 0.0000 0.5000
Pm: 0.0000 0.5000 0.5000
Y: 0.0000 0.0000 0.0000
Na: 0.5000 0.5000 0.0000

6.
The following is a PBE calculation of an optimized crystal structure of Ba3SrZr, from Alexandria via LeMat-Bulk.

## Properties
E above lowest polymorph (eV per atom): 0.000
Formation enthalpy at 0 K (eV/atom): 0.547

Cell: 6.4770 6.4770 6.4770 Å, 90.00 90.00 90.00°
Site moments in Bohr magnetons follow the coordinates.
Fractional coordinates of all 5 atoms:
Ba: 0.0000 0.0000 0.5000  0.02
Ba: 0.0000 0.5000 0.0000  0.02
Ba: 0.5000 0.0000 0.0000  0.00
Zr: 0.0000 0.0000 0.0000  0.36
Sr: 0.5000 0.5000 0.5000  -0.02

7.
The following is a PBE calculation of an optimized crystal structure of ScTeAs4, from Alexandria via LeMat-Bulk.

## Properties
Raw formation energy (kJ/mol of formula units): 33

Cell: 5.6595 5.6595 5.6595 Å, 60.00 60.00 60.00°
Fractional coordinates of all 6 atoms:
Te: 0.0000 0.0000 0.0000
As: 0.3735 0.3735 0.8795
As: 0.8795 0.3735 0.3735
As: 0.3735 0.8795 0.3735
As: 0.3735 0.3735 0.3735
Sc: 0.7500 0.7500 0.7500

8.
The following is a PBE calculation of an optimized crystal structure of Ca2HfBrN, from Alexandria via LeMat-Bulk.

## Properties
Raw formation energy (kJ/mol of formula units): -311

Cell: 5.5033 4.1256 5.5033 Å, 90.00 90.00 90.00°
Site moments in Bohr magnetons follow the coordinates.
Fractional coordinates of all 5 atoms:
Br: 0.5000 0.5000 0.5000  0.00
Ca: 0.5000 0.0000 0.0000  0.02
Ca: 0.0000 0.0000 0.5000  0.01
Hf: 0.0000 0.5000 0.0000  0.15
N: 0.0000 0.0000 0.0000  -0.01

9.
The following is a PBE calculation of an optimized crystal structure of SrTc3W, from Alexandria via LeMat-Bulk.

## Properties
E above lowest polymorph (eV per atom): 0.000
Formation enthalpy at 0 K (eV/atom): 1.199

Cell: 4.8333 4.8333 4.8333 Å, 90.00 90.00 90.00°
Site moments in Bohr magnetons follow the coordinates.
Fractional coordinates of all 5 atoms:
Tc: 0.5000 0.0000 0.0000  0.57
Tc: 0.0000 0.5000 0.0000  0.86
Tc: 0.0000 0.0000 0.5000  0.92
Sr: 0.5000 0.5000 0.5000  0.02
W: 0.0000 0.0000 0.0000  -0.16

10.
The following is a PBE calculation of an optimized crystal structure of TmScTlHg, from Alexandria via LeMat-Bulk.

## Properties
E above lowest polymorph (eV per atom): 0.000
Formation enthalpy at 0 K (eV/atom): -0.362

Cell: 3.6466 3.6466 7.2436 Å, 90.00 90.00 90.00°
Site moments in Bohr magnetons follow the coordinates.
Fractional coordinates of all 4 atoms:
Sc: 0.0000 0.0000 0.3658  0.08
Tl: 0.5000 0.5000 0.1188  0.00
Tm: 0.0000 0.0000 0.8489  0.05
Hg: 0.5000 0.5000 0.5945  0.00

11.
The following is a PBE calculation of an optimized crystal structure of Zn4Ir, from Alexandria via LeMat-Bulk.

## Properties
Formation enthalpy at 0 K (eV/atom): 0.109

Cell: 5.3887 6.2523 6.3268 Å, 73.55 64.79 64.47°
Site moments in Bohr magnetons follow the coordinates.
Fractional coordinates of all 10 atoms:
Zn: 0.7556 0.7419 0.7469  0.00
Zn: 0.2444 0.2581 0.2531  0.00
Zn: 0.2544 0.3255 0.6657  0.00
Zn: 0.7456 0.6745 0.3343  0.00
Zn: 0.7544 0.3255 0.6657  0.00
Zn: 0.2555 0.7424 0.7465  0.00
Zn: 0.7445 0.2576 0.2535  0.00
Zn: 0.2456 0.6745 0.3343  0.00
Ir: 0.2500 0.0000 0.0000  0.30
Ir: 0.7500 0.0000 0.0000  0.30

12.
The following is a PBE calculation of an optimized crystal structure of Sc4RuAu, from Alexandria via LeMat-Bulk.

## Properties
E above lowest polymorph (eV per atom): 0.739
Formation enthalpy at 0 K (eV/atom): 0.282

Cell: 5.4769 5.4769 5.4769 Å, 60.00 60.00 60.00°
Fractional coordinates of all 6 atoms:
Sc: 0.3738 0.3738 0.3738
Sc: 0.3738 0.8786 0.3738
Sc: 0.8786 0.3738 0.3738
Sc: 0.3738 0.3738 0.8786
Au: 0.7500 0.7500 0.7500
Ru: 0.0000 0.0000 0.0000